1.
PaBIrN, relaxed, DFT PBE; total magnetization = 0.00 μB/f.u.; theoretical density = 13.00 g/cm3
1.0
3.8991 0.0000 0.0000
0.0000 3.8991 0.0000
0.0000 0.0000 7.5269
Pa B Ir N
2 2 2 2
Cartesian
1.9496 0.0000 4.9384 Pa
0.0000 1.9496 2.5885 Pa
0.0000 1.9496 6.5776 B
1.9496 0.0000 0.9493 B
1.9496 1.9496 0.0000 Ir
0.0000 0.0000 0.0000 Ir
0.0000 0.0000 3.7635 N
1.9496 1.9496 3.7635 N

=====

2.
BIr2PdN, relaxed, DFT PBE; total magnetization = 0.92 μB/f.u.; theoretical density = 13.57 g/cm3
1.0
4.8068 0.0000 0.0000
0.0000 2.7305 0.0000
0.0000 0.0000 4.8068
B Ir Pd N
1 2 1 1
Cartesian
0.0000 0.0000 0.0000 B
0.0000 0.0000 2.4034 Ir
2.4034 0.0000 0.0000 Ir
2.4034 1.3653 2.4034 Pd
0.0000 1.3653 0.0000 N

=====

3.
BIrSN2, relaxed, DFT PBE; total magnetization = 0.00 μB/f.u.; theoretical density = 5.99 g/cm3
1.0
-1.6500 -0.3783 -3.3025
-3.2103 -0.7751 1.6927
-1.2312 5.1538 0.0248
S Ir B N
1 1 1 2
Cartesian
-0.6156 2.5769 0.0124 S
0.0000 0.0000 0.0000 Ir
-3.0458 2.0002 -0.7925 B
-1.6052 -0.3875 0.8464 N
-0.8250 -0.1891 -1.6513 N

=====

4.
BIrS2N, relaxed, DFT PBE; total magnetization = 0.00 μB/f.u.; theoretical density = 5.46 g/cm3
1.0
-0.3551 -2.4749 -4.1555
-3.1421 -3.0496 2.0848
-2.7565 2.1328 -1.0347
S Ir B N
2 1 1 1
Cartesian
-1.5711 -1.5248 1.0424 S
-0.1776 -1.2375 -2.0777 S
0.0000 0.0000 0.0000 Ir
-3.1269 -1.6959 -1.5527 B
-1.3783 1.0664 -0.5174 N

=====

5.
BIrS2N, relaxed, DFT PBE; total magnetization = 0.00 μB/f.u.; theoretical density = 7.64 g/cm3
1.0
-0.5061 -2.5406 -3.9392
4.5821 0.5673 -0.9546
0.5762 -2.2917 1.4040
S Ir B N
2 1 1 1
Cartesian
2.2910 0.2837 -0.4773 S
-0.2531 -1.2703 -1.9696 S
2.3261 -2.1325 -1.7449 Ir
0.0000 0.0000 0.0000 B
0.2881 -1.1458 0.7020 N

=====

6.
BIrSN2, relaxed, DFT PBE; total magnetization = 0.00 μB/f.u.; theoretical density = 8.89 g/cm3
1.0
-0.2068 0.0764 -3.4525
1.5557 -3.0858 -0.1614
-3.6589 -1.8539 0.1781
S Ir B N
1 1 1 2
Cartesian
-1.8294 -0.9269 0.0891 S
-1.1550 -2.4317 -1.7179 Ir
0.0000 0.0000 0.0000 B
0.7778 -1.5429 -0.0807 N
-0.1034 0.0382 -1.7263 N

=====

7.
BIrSeN2, relaxed, DFT PBE; total magnetization = 0.13 μB/f.u.; theoretical density = 6.71 g/cm3
1.0
3.7193 0.0000 0.0000
0.0000 3.7193 0.0000
0.0000 0.0000 5.5430
B Ir Se N
1 1 1 2
Cartesian
1.8597 1.8597 2.7715 B
0.0000 0.0000 0.0000 Ir
0.0000 0.0000 2.7715 Se
0.0000 1.8597 0.0000 N
1.8597 0.0000 0.0000 N

=====

8.
BIrSe2N, relaxed, DFT PBE; total magnetization = 0.00 μB/f.u.; theoretical density = 7.27 g/cm3
1.0
-1.6558 -4.0082 2.0359
0.0754 -1.7138 -3.3126
4.4946 -1.4292 0.8417
B Ir Se N
1 1 2 1
Cartesian
1.4571 -3.5756 -0.2175 B
0.0377 -0.8569 -1.6563 Ir
2.2473 -0.7146 0.4208 Se
-0.8279 -2.0041 1.0180 Se
0.0000 0.0000 0.0000 N

=====

no.,DOS(E_F) (states/eV/cell),volume (Å³/atom),ΔE_f (raw) (eV/atom)
1,3.2,14.30,-1.08
2,6.1,12.62,0.78
3,3.4,14.60,1.56
4,4.1,17.10,1.35
5,2.8,12.22,0.67
6,2.3,9.83,1.57
7,2.7,15.34,1.44
8,6.0,17.12,1.63